# 1
The following is a PBE calculation of crystalline Ac4TlPb5 at its relaxed geometry, from Alexandria via LeMat-Bulk.

E	-4.188	eV per atom
formation enthalpy at 0 K	-453	meV/atom
space-group type	C2/m (12)
D(E_F)	6.20	states/eV/cell
total moment	0.00	μB per formula unit

a b c (Å): 10.865 10.865 6.938
angles (deg): 101.55 101.55 26.30
Fractional positions:
Ac (0.103, 0.103, 0.303)
Ac (0.322, 0.322, 0.177)
Ac (0.678, 0.678, 0.823)
Ac (0.897, 0.897, 0.697)
Tl (0.500, 0.500, 0.500)
Pb (0.068, 0.068, 0.785)
Pb (0.275, 0.275, 0.658)
Pb (0.500, 0.500, 0.000)
Pb (0.725, 0.725, 0.342)
Pb (0.932, 0.932, 0.215)

---

# 2
The following is a PBE calculation of crystalline CuC2Cl at its relaxed geometry, from Alexandria via LeMat-Bulk.

energy above the most stable polymorph in this dataset	846	meV/atom
E	-3.169	eV per atom
space-group type	Fm-3m (225)
D(E_F)	7.59	states/eV/cell
total moment	0.00	μB per formula unit

a b c (Å): 5.632 5.632 5.632
angles (deg): 90.00 90.00 90.00
Fractional positions:
Cu (0.000, 0.000, 0.000)
Cu (0.000, 0.500, 0.500)
Cu (0.500, 0.000, 0.500)
Cu (0.500, 0.500, 0.000)
C (0.250, 0.250, 0.250)
C (0.250, 0.250, 0.750)
C (0.250, 0.750, 0.250)
C (0.250, 0.750, 0.750)
C (0.750, 0.250, 0.250)
C (0.750, 0.250, 0.750)
C (0.750, 0.750, 0.250)
C (0.750, 0.750, 0.750)
Cl (0.000, 0.000, 0.500)
Cl (0.000, 0.500, 0.000)
Cl (0.500, 0.000, 0.000)
Cl (0.500, 0.500, 0.500)

---

# 3
The following is a PBE calculation of crystalline As2SeSN at its relaxed geometry, from Alexandria via LeMat-Bulk.

energy above the most stable polymorph in this dataset	690	meV/atom
E	-3.330	eV per atom
space-group type	P4/mmm (123)
D(E_F)	4.32	states/eV/cell
total moment	1.54	μB per formula unit

a b c (Å): 4.862 4.862 4.865
angles (deg): 90.00 90.00 90.00
Fractional positions:
As (0.000, 0.500, 0.000)
As (0.500, 0.000, 0.000)
Se (0.000, 0.000, 0.500)
S (0.000, 0.000, 0.000)
N (0.500, 0.500, 0.500)

---

# 4
The following is a PBE calculation of crystalline LiRuPb2 at its relaxed geometry, from Alexandria via LeMat-Bulk.

energy above the most stable polymorph in this dataset	363	meV/atom
E	-4.181	eV per atom
formation enthalpy at 0 K	470	meV/atom
space-group type	F-43m (216)
D(E_F)	14.57	states/eV/cell
total moment	0.00	μB per formula unit

a b c (Å): 7.011 7.011 7.011
angles (deg): 90.00 90.00 90.00
Fractional positions:
Li (0.000, 0.000, 0.000)
Li (0.000, 0.500, 0.500)
Li (0.500, 0.000, 0.500)
Li (0.500, 0.500, 0.000)
Ru (0.250, 0.250, 0.750)
Ru (0.250, 0.750, 0.250)
Ru (0.750, 0.250, 0.250)
Ru (0.750, 0.750, 0.750)
Pb (0.000, 0.000, 0.500)
Pb (0.000, 0.500, 0.000)
Pb (0.250, 0.250, 0.250)
Pb (0.250, 0.750, 0.750)
Pb (0.500, 0.000, 0.000)
Pb (0.500, 0.500, 0.500)
Pb (0.750, 0.250, 0.750)
Pb (0.750, 0.750, 0.250)

---

# 5
The following is a PBE calculation of crystalline InGaTcO6 at its relaxed geometry, from Alexandria via LeMat-Bulk.

E	-6.530	eV per atom
space-group type	P-31c (163)
D(E_F)	5.58	states/eV/cell
total moment	1.01	μB per formula unit

a b c (Å): 5.136 5.136 9.245
angles (deg): 90.00 90.00 120.00
Fractional positions:
In (0.000, 0.000, 0.000)
In (0.000, 0.000, 0.500)
Ga (0.333, 0.667, 0.250)
Ga (0.667, 0.333, 0.750)
Tc (0.333, 0.667, 0.750)
Tc (0.667, 0.333, 0.250)
O (0.009, 0.361, 0.635)
O (0.009, 0.647, 0.865)
O (0.353, 0.361, 0.865)
O (0.353, 0.991, 0.635)
O (0.361, 0.009, 0.135)
O (0.361, 0.353, 0.365)
O (0.639, 0.647, 0.635)
O (0.639, 0.991, 0.865)
O (0.647, 0.009, 0.365)
O (0.647, 0.639, 0.135)
O (0.991, 0.353, 0.135)
O (0.991, 0.639, 0.365)

---

# 6
The following is a PBE calculation of crystalline SrCr3P at its relaxed geometry, from Alexandria via LeMat-Bulk.

energy above the most stable polymorph in this dataset	2021	meV/atom
E	-4.679	eV per atom
formation enthalpy at 0 K	2513	meV/atom
space-group type	Pm-3m (221)
D(E_F)	4.29	states/eV/cell
total moment	14.34	μB per formula unit

a b c (Å): 5.486 5.486 5.486
angles (deg): 90.00 90.00 90.00
Fractional positions:
Sr (0.000, 0.000, 0.000)
Cr (0.000, 0.000, 0.500)
Cr (0.000, 0.500, 0.000)
Cr (0.500, 0.000, 0.000)
P (0.500, 0.500, 0.500)

---

# 7
The following is a PBE calculation of crystalline PuScGeO6 at its relaxed geometry, from Alexandria via LeMat-Bulk.

E	-8.574	eV per atom
space-group type	P-31c (163)
D(E_F)	18.28	states/eV/cell
total moment	3.00	μB per formula unit

a b c (Å): 5.260 5.260 9.165
angles (deg): 90.00 90.00 120.00
Fractional positions:
Pu (0.333, 0.667, 0.250)
Pu (0.667, 0.333, 0.750)
Sc (0.000, 0.000, 0.000)
Sc (0.000, 0.000, 0.500)
Ge (0.333, 0.667, 0.750)
Ge (0.667, 0.333, 0.250)
O (0.030, 0.356, 0.632)
O (0.030, 0.674, 0.868)
O (0.326, 0.356, 0.868)
O (0.326, 0.970, 0.632)
O (0.356, 0.030, 0.132)
O (0.356, 0.326, 0.368)
O (0.644, 0.674, 0.632)
O (0.644, 0.970, 0.868)
O (0.674, 0.030, 0.368)
O (0.674, 0.644, 0.132)
O (0.970, 0.326, 0.132)
O (0.970, 0.644, 0.368)

---

# 8
The following is a PBE calculation of crystalline Pr8Ho3Mg2 at its relaxed geometry, from Alexandria via LeMat-Bulk.

E	-4.175	eV per atom
formation enthalpy at 0 K	68	meV/atom
space-group type	P-1 (2)
D(E_F)	18.69	states/eV/cell
total moment	0.00	μB per formula unit

a b c (Å): 6.441 7.435 9.699
angles (deg): 90.64 91.01 109.22
Fractional positions:
Pr (0.041, 0.374, 0.353)
Pr (0.048, 0.868, 0.320)
Pr (0.401, 0.969, 0.823)
Pr (0.438, 0.473, 0.807)
Pr (0.562, 0.527, 0.193)
Pr (0.599, 0.031, 0.177)
Pr (0.952, 0.132, 0.680)
Pr (0.959, 0.626, 0.647)
Ho (0.000, 0.500, 0.000)
Ho (0.488, 0.242, 0.501)
Ho (0.512, 0.758, 0.499)
Mg (0.169, 0.160, 0.060)
Mg (0.831, 0.840, 0.940)

---

# 9
The following is a PBE calculation of crystalline Li4ScSb at its relaxed geometry, from Alexandria via LeMat-Bulk.

E	-3.121	eV per atom
space-group type	F-43m (216)
D(E_F)	5.09	states/eV/cell
total moment	0.58	μB per formula unit

a b c (Å): 5.408 5.408 5.408
angles (deg): 60.00 60.00 60.00
Fractional positions:
Li (0.125, 0.125, 0.125)
Li (0.125, 0.125, 0.625)
Li (0.125, 0.625, 0.125)
Li (0.625, 0.125, 0.125)
Sc (0.500, 0.500, 0.500)
Sb (0.750, 0.750, 0.750)

---

# 10
The following is a PBE calculation of crystalline Ti2IF at its relaxed geometry, from Alexandria via LeMat-Bulk.

energy above the most stable polymorph in this dataset	143	meV/atom
E	-5.205	eV per atom
space-group type	Fm-3m (225)
D(E_F)	17.82	states/eV/cell
total moment	0.00	μB per formula unit

a b c (Å): 6.428 6.428 6.428
angles (deg): 90.00 90.00 90.00
Fractional positions:
Ti (0.250, 0.250, 0.250)
Ti (0.250, 0.250, 0.750)
Ti (0.250, 0.750, 0.250)
Ti (0.250, 0.750, 0.750)
Ti (0.750, 0.250, 0.250)
Ti (0.750, 0.250, 0.750)
Ti (0.750, 0.750, 0.250)
Ti (0.750, 0.750, 0.750)
I (0.000, 0.000, 0.000)
I (0.000, 0.500, 0.500)
I (0.500, 0.000, 0.500)
I (0.500, 0.500, 0.000)
F (0.000, 0.000, 0.500)
F (0.000, 0.500, 0.000)
F (0.500, 0.000, 0.000)
F (0.500, 0.500, 0.500)

---

# 11
The following is a PBE calculation of crystalline CdGa4Fe2 at its relaxed geometry, from Alexandria via LeMat-Bulk.

E	-3.638	eV per atom
formation enthalpy at 0 K	640	meV/atom
space-group type	I4/mmm (139)
D(E_F)	10.98	states/eV/cell
total moment	4.55	μB per formula unit

a b c (Å): 4.976 4.976 12.469
angles (deg): 90.00 90.00 90.00
Fractional positions:
Cd (0.000, 0.000, 0.000)
Cd (0.500, 0.500, 0.500)
Ga (0.000, 0.000, 0.216)
Ga (0.000, 0.000, 0.784)
Ga (0.000, 0.500, 0.000)
Ga (0.000, 0.500, 0.500)
Ga (0.500, 0.000, 0.000)
Ga (0.500, 0.000, 0.500)
Ga (0.500, 0.500, 0.284)
Ga (0.500, 0.500, 0.716)
Fe (0.000, 0.000, 0.412)
Fe (0.000, 0.000, 0.588)
Fe (0.500, 0.500, 0.088)
Fe (0.500, 0.500, 0.912)

---

# 12
The following is a PBE calculation of crystalline AlBOs at its relaxed geometry, from Alexandria via LeMat-Bulk.

energy above the most stable polymorph in this dataset	0	meV/atom
E	-7.442	eV per atom
formation enthalpy at 0 K	-225	meV/atom
space-group type	I4mm (107)
D(E_F)	0.30	states/eV/cell
total moment	0.00	μB per formula unit

a b c (Å): 2.897 2.897 8.294
angles (deg): 90.00 90.00 90.00
Fractional positions:
Al (0.000, 0.000, 0.000)
Al (0.500, 0.500, 0.500)
B (0.000, 0.000, 0.314)
B (0.500, 0.500, 0.814)
Os (0.000, 0.000, 0.703)
Os (0.500, 0.500, 0.203)